[1]
Below is a relaxed ZnPIO2 crystal, with properties calculated at the GGA-PBE level.

Properties
E (eV/atom): -3.304
Formation energy (no corrections) (eV/atom): 0.326

Unit cell a=3.878 b=3.878 c=6.530 alpha=90.00 beta=90.00 gamma=90.00
Space group P4/mmm (No. 123)
Symmetry-distinct sites (fractional):
Zn: 0.000 0.000 0.000 (multiplicity 1)
P: 0.500 0.500 0.500 (multiplicity 1)
I: 0.000 0.000 0.500 (multiplicity 1)
O: 0.000 0.500 0.000 (multiplicity 2)

=====

[2]
Below is a relaxed ZnPIO2 crystal, with properties calculated at the GGA-PBE level.

Properties
E (eV/atom): -3.341
Formation energy (no corrections) (eV/atom): 0.289

Unit cell a=3.874 b=3.874 c=6.031 alpha=90.00 beta=90.00 gamma=90.00
Space group P4/mmm (No. 123)
Symmetry-distinct sites (fractional):
Zn: 0.000 0.000 0.000 (multiplicity 1)
P: 0.000 0.000 0.500 (multiplicity 1)
I: 0.500 0.500 0.500 (multiplicity 1)
O: 0.000 0.500 0.000 (multiplicity 2)

=====

[3]
Below is a relaxed ZnPIO2 crystal, with properties calculated at the GGA-PBE level.

Properties
E (eV/atom): -3.859
Formation energy (no corrections) (eV/atom): -0.229

Unit cell a=3.696 b=3.696 c=6.581 alpha=90.00 beta=90.00 gamma=90.00
Space group P4/mmm (No. 123)
Symmetry-distinct sites (fractional):
Zn: 0.000 0.000 0.000 (multiplicity 1)
P: 0.500 0.500 0.500 (multiplicity 1)
I: 0.500 0.500 0.000 (multiplicity 1)
O: 0.000 0.500 0.500 (multiplicity 2)

=====

[4]
Below is a relaxed ZnPIO2 crystal, with properties calculated at the GGA-PBE level.

Properties
E (eV/atom): -3.391
Formation energy (no corrections) (eV/atom): 0.239

Unit cell a=3.965 b=3.965 c=5.566 alpha=90.00 beta=90.00 gamma=90.00
Space group P4/mmm (No. 123)
Symmetry-distinct sites (fractional):
Zn: 0.000 0.000 0.000 (multiplicity 1)
P: 0.500 0.500 0.000 (multiplicity 1)
I: 0.500 0.500 0.500 (multiplicity 1)
O: 0.000 0.500 0.500 (multiplicity 2)

=====

[5]
Below is a relaxed PaI3O9 crystal, with properties calculated at the GGA-PBE level.

Properties
E (eV/atom): -5.579
Formation energy (no corrections) (eV/atom): -1.058

Unit cell a=12.475 b=8.909 c=10.555 alpha=90.00 beta=119.69 gamma=90.00
Space group Cc (No. 9)
Symmetry-distinct sites (fractional):
Pa: 0.000 0.247 0.000 (multiplicity 4)
I: 0.135 0.242 0.417 (multiplicity 4)
I: 0.226 0.461 0.765 (multiplicity 4)
I: 0.348 0.083 0.088 (multiplicity 4)
O: 0.038 0.180 0.217 (multiplicity 4)
O: 0.128 0.123 0.001 (multiplicity 4)
O: 0.191 0.382 0.136 (multiplicity 4)
O: 0.262 0.317 0.668 (multiplicity 4)
O: 0.288 0.166 0.445 (multiplicity 4)
O: 0.338 0.241 0.978 (multiplicity 4)
O: 0.380 0.465 0.397 (multiplicity 4)
O: 0.446 0.162 0.281 (multiplicity 4)
O: 0.488 0.002 0.588 (multiplicity 4)

=====

[6]
Below is a relaxed Pa2I5O crystal, with properties calculated at the GGA-PBE level.

Properties
E (eV/atom): -5.162
Formation energy (no corrections) (eV/atom): -1.200

Unit cell a=3.697 b=16.818 c=21.078 alpha=90.00 beta=90.00 gamma=90.00
Space group Cmcm (No. 63)
Symmetry-distinct sites (fractional):
Pa: 0.000 0.239 0.178 (multiplicity 8)
I: 0.000 0.122 0.628 (multiplicity 8)
I: 0.000 0.340 0.575 (multiplicity 8)
I: 0.000 0.413 0.750 (multiplicity 4)
O: 0.000 0.239 0.750 (multiplicity 4)

=====

[7]
Below is a relaxed PaI2O8 crystal, with properties calculated at the GGA-PBE level.

Properties
E (eV/atom): -5.933
Formation energy (no corrections) (eV/atom): -1.182

Unit cell a=5.209 b=6.113 c=6.235 alpha=109.02 beta=92.73 gamma=91.58
Space group P-1 (No. 2)
Symmetry-distinct sites (fractional):
Pa: 0.000 0.000 0.000 (multiplicity 1)
I: 0.281 0.606 0.354 (multiplicity 2)
O: 0.173 0.858 0.722 (multiplicity 2)
O: 0.252 0.813 0.195 (multiplicity 2)
O: 0.260 0.334 0.101 (multiplicity 2)
O: 0.371 0.354 0.587 (multiplicity 2)

=====

[8]
Below is a relaxed Pa2IO4 crystal, with properties calculated at the GGA-PBE level.

Properties
E (eV/atom): -8.762
Formation energy (no corrections) (eV/atom): -2.995

Unit cell a=4.288 b=16.366 c=4.179 alpha=90.00 beta=90.00 gamma=90.00
Space group Cmmm (No. 65)
Symmetry-distinct sites (fractional):
Pa: 0.000 0.161 0.000 (multiplicity 4)
I: 0.000 0.500 0.500 (multiplicity 2)
O: 0.000 0.168 0.500 (multiplicity 4)
O: 0.000 0.300 0.000 (multiplicity 4)